Below is an optimized crystal structure of H2S4Br3, with properties calculated at the PBE level.

Cell: 12.4721 12.4721 8.7086 Å, 95.59 95.59 25.04°
Last column: nearest neighbours and their distance in Å.
Positions (direct):
H 0.1115 0.1690 0.3568  1 S 1.37
H 0.1690 0.1115 0.8568  1 S 1.37
H 0.8310 0.8885 0.1432  1 S 1.37
H 0.8885 0.8310 0.6432  1 S 1.37
S 0.0350 0.3265 0.8495  1 H 1.37
S 0.2306 0.4534 0.9936  1 S 2.01
S 0.3265 0.0350 0.3495  1 H 1.37
S 0.4534 0.2306 0.4936  1 S 2.01
S 0.5466 0.7694 0.5064  1 S 2.01
S 0.6735 0.9650 0.6505  1 H 1.37
S 0.7694 0.5466 0.0064  1 S 2.01
S 0.9650 0.6735 0.1505  1 H 1.37
Br 0.1102 0.8898 0.7500  2 Br 2.76
Br 0.3385 0.5044 0.5993  1 S 2.31
Br 0.4956 0.6615 0.9007  1 S 2.31
Br 0.5044 0.3385 0.0993  1 S 2.31
Br 0.6615 0.4956 0.4007  1 S 2.31
Br 0.8898 0.1102 0.2500  2 Br 2.76

Output
Calculated volume ... 31.7 A^3/atom
Final energy ... -3.10 eV per atom
Crystal system ... monoclinic